Record 1
This record from the Open Quantum Materials Database describes a relaxed LiSbPd2 crystal. The functional is PBE-GGA.

Results
Raw total energy ... -37.2 eV/cell

Cell lengths 4.3806, 4.3806, 8.1680 Å; angles 90.00, 90.00, 120.00 degrees
Space group P6_3/mmc (No. 194)
Unique sites:
Li1 0.0000 0.0000 0.0000 [2 per cell]
Sb1 0.3333 0.6667 0.2500 [2 per cell]
Pd1 0.3333 0.6667 0.5847 [4 per cell]

=====

Record 2
This record from the Open Quantum Materials Database describes a relaxed AcZrSc crystal. The functional is PBE-GGA.

Results
Relative energy among the computed polymorphs ... 281 meV/atom
Formation energy from the elements ... 1.141 eV/atom

Cell lengths 7.405, 7.405, 7.405 Å; angles 90.00, 90.00, 90.00 degrees
Space group F-43m (No. 216)
Unique sites:
Ac1 0.000 0.000 0.000 [4 per cell]
Zr1 0.250 0.250 0.250 [4 per cell]
Sc1 0.250 0.250 0.750 [4 per cell]